{"formula": "Rb3LaTa", "functional": "GGA-PBE", "state": "relaxed", "cell": [[-4.137, 5.509, 0.098], [-1.129, -0.967, 6.727], [5.393, 4.023, 1.483]], "species": ["Rb", "Rb", "Rb", "Ta", "La"], "frac_coords": [[0.000, 0.000, 0.500], [0.500, 0.000, 0.000], [0.000, 0.500, 0.000], [0.500, 0.500, 0.500], [0.000, 0.000, 0.000]], "total_magnetization_mub_per_cell": 0.85, "volume_a3_per_atom": 65.40, "formation_energy_ev_per_atom": 2.12}

{"formula": "LiInS2", "functional": "GGA-PBE", "state": "relaxed", "cell": [[1.711, 9.393, -3.949], [-3.841, -7.068, 6.484], [4.117, 0.509, 2.994]], "species": ["S", "Li", "In", "In", "S", "S", "S", "Li"], "frac_coords": [[0.814, 0.186, 0.750], [0.695, 0.305, 0.750], [0.930, 0.070, 0.750], [0.070, 0.930, 0.250], [0.948, 0.052, 0.250], [0.052, 0.948, 0.750], [0.186, 0.814, 0.250], [0.305, 0.695, 0.250]], "formation_energy_uncorrected_ev_per_atom": -0.447, "total_magnetization_mub_per_cell": 0.00, "volume_a3_per_atom": 26.21}

{"formula": "PmNdHoEr2", "functional": "GGA-PBE", "state": "relaxed", "cell": [[-4.742, -2.705, 3.340], [1.111, -5.580, -2.943], [4.845, 0.709, 7.453]], "species": ["Nd", "Er", "Nd", "Er", "Pm", "Er", "Ho", "Ho", "Er", "Pm"], "frac_coords": [[0.250, 0.658, 0.315], [0.500, 0.251, 0.000], [0.750, 0.342, 0.685], [0.000, 0.749, 0.000], [0.250, 0.843, 0.686], [0.500, 0.749, 0.000], [0.250, 0.254, 0.507], [0.750, 0.746, 0.493], [0.000, 0.251, 0.000], [0.750, 0.157, 0.314]], "total_magnetization_mub_per_cell": 0.00, "volume_a3_per_atom": 34.12, "formation_energy_ev_per_atom": 0.35}

{"formula": "CeGeBi", "functional": "GGA-PBE", "state": "relaxed", "cell": [[4.043, 0.000, 0.000], [0.000, 4.908, 0.000], [0.000, -2.454, 4.251]], "species": ["Ce", "Bi", "Ge"], "frac_coords": [[0.655, 0.333, 0.667], [0.136, 0.000, 0.000], [0.209, 0.667, 0.333]], "total_magnetization_mub_per_cell": 1.02, "volume_a3_per_atom": 28.12, "relative_energy_mev_per_atom": 274, "formation_energy_ev_per_atom": -0.32}

{"formula": "NaMn2Br4", "functional": "GGA-PBE", "state": "relaxed", "cell": [[7.050, -0.793, 0.000], [-4.090, 5.797, 0.000], [-1.480, -2.502, 6.471]], "species": ["Br", "Br", "Br", "Br", "Mn", "Mn", "Na"], "frac_coords": [[0.801, 0.384, 0.184], [0.616, 0.801, 0.417], [0.199, 0.616, 0.816], [0.384, 0.199, 0.583], [0.250, 0.750, 0.500], [0.750, 0.250, 0.500], [0.500, 0.500, 0.000]], "formation_energy_uncorrected_ev_per_atom": -0.749, "total_magnetization_mub_per_cell": 9.00, "volume_a3_per_atom": 34.78}

{"formula": "BaCd3Sn3", "functional": "GGA-PBE", "state": "relaxed", "cell": [[-1.049, 3.554, 2.984], [-5.582, -7.284, 6.714], [11.402, 3.860, -0.591]], "species": ["Sn", "Ba", "Cd", "Cd", "Sn", "Sn", "Sn", "Ba", "Sn", "Cd", "Cd", "Cd", "Cd", "Sn"], "frac_coords": [[0.250, 0.341, 0.401], [0.250, 0.628, 0.342], [0.250, 0.386, 0.928], [0.750, 0.324, 0.255], [0.250, 0.704, 0.999], [0.750, 0.659, 0.599], [0.750, 0.924, 0.391], [0.750, 0.372, 0.658], [0.250, 0.076, 0.609], [0.250, 0.676, 0.745], [0.750, 0.614, 0.072], [0.250, 0.027, 0.309], [0.750, 0.973, 0.691], [0.750, 0.296, 0.001]], "total_magnetization_mub_per_cell": 0.00, "volume_a3_per_atom": 33.33, "relative_energy_mev_per_atom": 0, "formation_energy_ev_per_atom": -0.19}